DFT (PBE-GGA) results for crystalline Zr at its relaxed geometry.

The structure in POSCAR format:
```
Zr
1.0
-1.930 1.324 -5.072
0.150 -6.949 -4.947
-4.815 -1.187 1.522
Zr
10
Cartesian
0.000 0.000 0.000
-3.990 -3.616 -6.603
-1.484 -1.721 -6.036
-3.248 -2.755 -3.585
-1.038 -4.765 -7.001
-2.802 -5.800 -4.550
-0.296 -3.905 -3.982
-2.506 -1.895 -0.567
-3.694 0.289 -2.621
-0.742 -0.860 -3.018
```

Properties
VASP energy = -8.55 eV per atom
polymorph energy (0 for the lowest one) = 0.0004 eV per atom
formation enthalpy at 0 K = 0.0004 eV/atom
spin magnetization = 0.1 Bohr magnetons per cell

---

DFT (PBE-GGA) results for crystalline Pr2Re2O5 at its relaxed geometry.

The structure in POSCAR format:
```
Pr2Re2O5
1.0
-3.159 8.091 -4.850
0.726 -1.575 -3.101
-3.290 -1.338 -0.090
O Pr Re
5 2 2
Cartesian
-2.862 2.589 -4.020
0.004 0.132 -2.102
-4.445 6.502 -4.344
-2.437 6.383 -5.849
-2.004 0.251 -0.596
-3.598 4.475 -5.151
-2.125 0.703 -2.890
-1.580 4.045 -2.425
0.000 0.000 0.000
```

Properties
VASP energy = -7.84 eV per atom
polymorph energy (0 for the lowest one) = 0.6095 eV per atom
spin magnetization = 1.4 Bohr magnetons per cell

---

DFT (PBE-GGA) results for crystalline ZrMo at its relaxed geometry.

The structure in POSCAR format:
```
ZrMo
1.0
9.646 0.000 0.000
0.000 3.283 0.000
0.000 0.000 4.801
Zr Mo
4 4
Cartesian
2.129 0.000 2.401
6.713 1.641 0.000
8.966 1.641 2.401
9.523 0.000 0.000
2.301 1.641 0.000
6.542 0.000 2.401
4.338 0.000 0.000
4.505 1.641 2.401
```

Properties
VASP energy = -9.69 eV per atom
polymorph energy (0 for the lowest one) = 0.0000 eV per atom
formation enthalpy at 0 K = 0.0085 eV/atom
spin magnetization = 0.0 Bohr magnetons per cell

---

DFT (PBE-GGA) results for crystalline Nd4Si2Se3O7 at its relaxed geometry.

The structure in POSCAR format:
```
Nd4Si2Se3O7
1.0
-6.053 6.053 7.205
6.053 -6.053 7.205
6.053 6.053 -7.205
O Nd Se Si
28 16 12 8
Cartesian
7.494 4.350 -4.814
8.800 0.000 0.643
-1.703 4.612 5.994
7.755 1.441 -1.211
1.441 1.702 2.391
6.053 2.747 6.562
4.350 1.441 -1.211
0.000 0.000 3.845
2.747 0.000 10.165
4.612 4.350 -4.814
3.306 6.053 2.959
1.702 1.441 12.019
1.702 -1.441 12.019
0.000 0.000 10.566
4.612 -1.702 8.417
1.441 4.350 1.211
4.350 4.612 4.814
-1.441 1.702 2.391
6.053 0.000 0.242
6.053 0.000 6.963
0.000 2.747 4.246
1.702 4.612 5.994
6.053 3.306 -2.959
4.350 7.494 4.814
3.306 0.000 0.643
4.612 1.703 8.417
6.053 -2.747 6.562
1.441 7.755 1.211
3.965 3.965 7.205
0.000 2.895 6.620
2.895 0.000 7.790
8.948 0.000 3.017
6.053 2.895 4.188
2.088 3.965 3.603
-2.088 3.965 3.603
3.965 -3.965 7.205
3.157 0.000 3.017
6.053 -2.895 4.188
2.088 2.088 0.000
-3.965 3.965 7.205
2.088 8.141 3.603
6.053 3.157 -0.585
-2.088 8.141 3.603
3.157 6.053 0.585
7.815 3.026 1.801
3.026 1.762 5.404
0.000 6.053 3.603
0.000 0.000 0.000
3.026 4.291 -1.801
0.000 0.000 7.205
6.053 0.000 3.603
4.291 3.026 1.801
3.026 7.815 -1.801
3.026 -1.762 5.404
1.762 3.026 9.006
-1.762 3.026 9.006
-1.501 6.053 6.753
0.000 1.501 3.151
1.501 6.053 6.753
1.501 0.000 11.260
0.000 7.553 0.452
0.000 4.552 0.452
6.053 4.552 -4.054
4.552 6.053 4.054
```

Properties
VASP energy = -7.48 eV per atom
spin magnetization = 0.0 Bohr magnetons per cell

---

DFT (PBE-GGA) results for crystalline ZrTlCu3Se4 at its relaxed geometry.

The structure in POSCAR format:
```
ZrTlCu3Se4
1.0
6.232 0.000 0.000
0.000 6.232 0.000
0.000 0.000 6.232
Tl Cu Se Zr
1 3 4 1
Cartesian
0.000 0.000 0.000
3.116 3.116 0.000
3.116 0.000 3.116
0.000 3.116 3.116
4.556 1.675 4.556
1.675 1.675 1.675
4.556 4.556 1.675
1.675 4.556 4.556
3.116 3.116 3.116
```

Properties
VASP energy = -4.47 eV per atom
spin magnetization = 0.0 Bohr magnetons per cell

---

DFT (PBE-GGA) results for crystalline HoIrNO at its relaxed geometry.

The structure in POSCAR format:
```
HoIrNO
1.0
3.428 -3.428 0.000
3.428 3.428 0.000
0.000 0.000 4.296
O Ir Ho N
2 2 2 2
Cartesian
3.428 -1.714 0.000
3.428 1.714 0.000
1.714 0.000 0.030
5.142 0.000 4.265
3.428 1.714 2.148
3.428 -1.714 2.148
1.714 0.000 2.177
5.142 0.000 2.119
```

Properties
VASP energy = -7.49 eV per atom
polymorph energy (0 for the lowest one) = 0.7442 eV per atom
spin magnetization = 0.3 Bohr magnetons per cell

---

DFT (PBE-GGA) results for crystalline SmDyPb at its relaxed geometry.

The structure in POSCAR format:
```
SmDyPb
1.0
-1.895 -1.198 4.713
-0.757 3.759 3.541
-4.851 1.421 1.301
Dy Pb Sm
1 1 1
Cartesian
-1.876 0.995 2.389
0.000 0.000 0.000
-5.627 2.986 7.166
```

Properties
VASP energy = -4.56 eV per atom
polymorph energy (0 for the lowest one) = 0.0000 eV per atom
spin magnetization = 0.1 Bohr magnetons per cell

---

DFT (PBE-GGA) results for crystalline NaLiMoPd at its relaxed geometry.

The structure in POSCAR format:
```
NaLiMoPd
1.0
0.000 3.153 3.153
3.153 0.000 3.153
3.153 3.153 0.000
Li Pd Mo Na
1 1 1 1
Cartesian
3.153 3.153 3.153
1.577 1.577 1.577
0.000 0.000 0.000
4.730 4.730 4.730
```

Properties
VASP energy = -4.28 eV per atom
polymorph energy (0 for the lowest one) = 0.0000 eV per atom
spin magnetization = 0.0 Bohr magnetons per cell

---

DFT (PBE-GGA) results for crystalline TaBeFeGe at its relaxed geometry.

The structure in POSCAR format:
```
TaBeFeGe
1.0
-1.284 3.026 2.636
-1.438 3.654 -1.527
-4.097 0.939 0.294
Fe Ge Ta Be
1 1 1 1
Cartesian
-5.115 5.714 1.052
0.000 0.000 0.000
-1.705 1.905 0.351
-3.410 3.809 0.701
```

Properties
VASP energy = -6.93 eV per atom
polymorph energy (0 for the lowest one) = 0.1564 eV per atom
spin magnetization = 1.7 Bohr magnetons per cell

---

DFT (PBE-GGA) results for crystalline La2Ho2CBr2Cl3 at its relaxed geometry.

The structure in POSCAR format:
```
La2Ho2CBr2Cl3
1.0
9.072 -1.897 0.000
9.072 1.897 0.000
-2.180 0.000 7.670
Cl Ho Br La C
3 2 2 2 1
Cartesian
1.978 0.000 2.819
7.982 0.000 3.835
13.985 0.000 4.850
16.408 0.000 6.081
-0.444 0.000 1.589
14.773 0.000 1.475
1.190 0.000 6.195
11.553 0.000 0.731
4.411 0.000 6.939
9.072 0.000 0.000
```

Properties
VASP energy = -5.31 eV per atom
polymorph energy (0 for the lowest one) = 0.0000 eV per atom
spin magnetization = 0.3 Bohr magnetons per cell

---

DFT (PBE-GGA) results for crystalline HoInAu2 at its relaxed geometry.

The structure in POSCAR format:
```
HoInAu2
1.0
4.537 0.000 0.000
0.000 1.882 5.295
0.000 -1.882 5.295
Ho Au In
1 2 1
Cartesian
0.000 0.000 3.804
0.000 0.000 0.890
2.269 0.000 9.676
2.269 0.000 6.813
```

Properties
VASP energy = -4.05 eV per atom
spin magnetization = 0.0 Bohr magnetons per cell

---

DFT (PBE-GGA) results for crystalline ZrTlCdTe3 at its relaxed geometry.

The structure in POSCAR format:
```
ZrTlCdTe3
1.0
-3.741 4.766 -5.411
3.722 -6.981 1.842
-9.870 -4.510 2.851
Cd Te Zr Tl
2 6 2 2
Cartesian
-3.988 -9.879 3.681
-5.901 3.154 -4.399
-6.799 -5.455 0.949
-3.088 3.030 -4.337
-2.563 -7.819 2.395
-3.090 -1.271 -1.667
-7.326 1.093 -3.112
-6.801 -9.756 3.619
-0.009 -1.108 -1.784
-4.944 -3.363 -0.359
-0.710 -5.017 0.646
-9.179 -1.709 -1.363
```

Properties
VASP energy = -4.03 eV per atom
polymorph energy (0 for the lowest one) = 0.0427 eV per atom
spin magnetization = 1.6 Bohr magnetons per cell

---

DFT (PBE-GGA) results for crystalline PaZn at its relaxed geometry.

The structure in POSCAR format:
```
PaZn
1.0
-4.155 -2.488 -0.943
-2.310 -3.969 7.688
-2.627 3.920 1.234
Zn Pa
5 5
Cartesian
-1.865 1.194 1.875
-3.904 0.329 0.284
-0.204 -0.186 0.158
-5.998 -2.396 4.481
-2.319 -1.841 0.912
-3.871 -0.605 3.321
-2.535 -3.071 4.358
-4.533 -3.736 2.218
-3.958 -1.691 6.583
-4.627 -4.852 5.564
```

Properties
VASP energy = -5.26 eV per atom
formation enthalpy at 0 K = 0.1159 eV/atom
spin magnetization = 0.0 Bohr magnetons per cell

---

DFT (PBE-GGA) results for crystalline Sm3S3N at its relaxed geometry.

The structure in POSCAR format:
```
Sm3S3N
1.0
12.133 0.000 0.000
0.000 3.954 0.000
0.000 0.000 13.003
Sm S N
12 12 4
Cartesian
11.191 2.966 4.817
7.009 0.989 11.318
8.723 0.989 8.265
6.585 0.989 4.592
2.656 0.989 11.240
0.519 0.989 1.910
3.411 2.966 4.738
9.478 2.966 1.764
5.548 2.966 8.412
0.942 0.989 8.187
11.615 2.966 11.093
5.125 2.966 1.685
5.034 2.966 11.635
9.350 0.989 3.956
8.850 2.966 10.458
10.470 0.989 0.071
1.664 2.966 12.933
4.403 0.989 6.431
3.283 0.989 2.546
1.033 0.989 5.133
2.784 2.966 9.048
7.730 2.966 6.573
7.100 0.989 1.368
11.101 2.966 7.870
0.521 0.989 10.384
5.546 2.966 3.882
6.588 0.989 9.121
11.613 2.966 2.620
```

Properties
VASP energy = -6.92 eV per atom
spin magnetization = 0.0 Bohr magnetons per cell

---

DFT (PBE-GGA) results for crystalline NdNpTl at its relaxed geometry.

The structure in POSCAR format:
```
NdNpTl
1.0
0.000 3.734 3.734
3.734 0.000 3.734
3.734 3.734 0.000
Tl Nd Np
1 1 1
Cartesian
0.000 0.000 0.000
1.867 1.867 1.867
5.601 5.601 5.601
```

Properties
VASP energy = -6.12 eV per atom
polymorph energy (0 for the lowest one) = 0.0000 eV per atom
spin magnetization = 5.3 Bohr magnetons per cell

---

DFT (PBE-GGA) results for crystalline Cs3NdBr6 at its relaxed geometry.

The structure in POSCAR format:
```
Cs3NdBr6
1.0
7.295 -4.299 0.000
7.295 4.299 0.000
-4.758 0.000 7.438
Cs Br Nd
3 6 1
Cartesian
-2.379 0.000 3.719
2.488 0.000 1.643
7.344 0.000 5.795
4.284 -2.033 6.330
4.284 2.033 6.330
5.549 -2.033 1.108
5.549 2.033 1.108
0.988 0.000 4.976
8.844 0.000 2.462
7.295 0.000 0.000
```

Properties
VASP energy = -3.60 eV per atom
spin magnetization = 0.0 Bohr magnetons per cell

---

DFT (PBE-GGA) results for crystalline TbHoPO at its relaxed geometry.

The structure in POSCAR format:
```
TbHoPO
1.0
4.307 0.000 0.000
0.000 4.307 0.000
0.000 0.000 8.552
P Ho O Tb
2 2 2 2
Cartesian
0.000 2.153 5.945
2.153 0.000 2.608
0.000 0.000 4.276
2.153 2.153 4.276
2.153 2.153 0.000
0.000 0.000 0.000
0.000 2.153 0.897
2.153 0.000 7.655
```

Properties
VASP energy = -6.82 eV per atom
polymorph energy (0 for the lowest one) = 0.0948 eV per atom
spin magnetization = 0.0 Bohr magnetons per cell

---

DFT (PBE-GGA) results for crystalline Tb2CdO4 at its relaxed geometry.

The structure in POSCAR format:
```
Tb2CdO4
1.0
4.788 -4.789 0.000
-4.788 0.000 -4.789
4.788 4.789 0.000
Tb O Cd
4 8 2
Cartesian
-1.197 -1.197 -3.591
3.591 1.197 -1.197
1.197 1.197 -3.591
5.985 -1.197 -1.197
1.308 3.480 -3.480
1.086 -1.085 -3.703
1.308 1.309 -1.309
-1.086 1.085 -3.703
3.702 -1.085 -1.085
3.479 1.309 -3.480
3.479 3.480 -1.309
5.873 1.085 -1.085
2.394 -2.394 -2.394
0.000 0.000 0.000
```

Properties
VASP energy = -7.05 eV per atom
spin magnetization = 0.0 Bohr magnetons per cell

---

DFT (PBE-GGA) results for crystalline TbAgPbS3 at its relaxed geometry.

The structure in POSCAR format:
```
TbAgPbS3
1.0
-1.989 -2.718 -9.938
-3.481 -1.708 1.164
-6.255 11.462 -1.883
S Ag Pb Tb
12 4 4 4
Cartesian
-5.471 6.509 -3.288
-2.683 -0.775 -5.642
-9.042 7.811 -5.016
-8.240 3.161 -9.444
-3.517 -1.731 -9.540
-4.204 2.709 -5.077
-4.144 -0.158 -2.065
-7.521 4.327 -5.580
-8.208 8.767 -1.117
-7.581 7.195 -8.593
-3.485 3.875 -1.213
-6.254 0.527 -7.370
-8.567 4.963 -7.774
-7.962 7.037 -2.923
-3.763 -0.001 -7.735
-3.158 2.073 -2.883
-10.415 8.029 -8.804
-5.410 3.340 -7.758
-6.315 3.696 -2.900
-1.309 -0.993 -1.854
-6.585 6.988 -5.916
-7.444 5.381 -10.844
-4.281 1.655 0.187
-5.140 0.048 -4.741
```

Properties
VASP energy = -4.95 eV per atom
polymorph energy (0 for the lowest one) = 0.0221 eV per atom
spin magnetization = 0.0 Bohr magnetons per cell

---

DFT (PBE-GGA) results for crystalline Hf3InP5 at its relaxed geometry.

The structure in POSCAR format:
```
Hf3InP5
1.0
-5.831 1.595 0.665
3.191 -1.930 4.804
1.649 5.555 1.136
Hf P In
3 5 1
Cartesian
-2.091 3.575 0.900
2.420 1.813 2.970
-0.495 2.610 3.302
0.486 0.264 3.632
1.531 3.782 4.352
0.825 2.778 0.568
-1.476 4.957 2.972
-2.521 1.439 2.253
0.000 0.000 0.000
```

Properties
VASP energy = -7.07 eV per atom
spin magnetization = 0.0 Bohr magnetons per cell